i:
# GaFeIO2 PBE with a Hubbard U relaxed
# Size of the total moment = 5.147 μB per cell
# Calculated density = 5.039 Mg/m³
data_GaFeIO2
_chemical_formula_sum 'Ga1 Fe1 I1 O2'
_symmetry_space_group_name_H-M 'P 1'
_symmetry_Int_Tables_number 1
_symmetry_space_group_name_Hall 'P 1'
_cell_length_a 3.971
_cell_length_b 3.971
_cell_length_c 5.945
_cell_angle_alpha 90.00
_cell_angle_beta 90.00
_cell_angle_gamma 90.00
loop_
_atom_site_label
_atom_site_type_symbol
_atom_site_fract_x
_atom_site_fract_y
_atom_site_fract_z
O1 O 0.500 0.000 0.000
Fe1 Fe 0.000 0.000 0.000
Ga1 Ga 0.500 0.500 0.500
O2 O 0.000 0.500 0.000
I1 I 0.000 0.000 0.500

=====

ii:
# GaFeIO2 PBE with a Hubbard U relaxed
# Size of the total moment = 4.420 μB per cell
# Calculated density = 5.386 Mg/m³
data_GaFeIO2
_chemical_formula_sum 'Ga1 Fe1 I1 O2'
_symmetry_space_group_name_H-M 'P 1'
_symmetry_Int_Tables_number 1
_symmetry_space_group_name_Hall 'P 1'
_cell_length_a 3.881
_cell_length_b 3.881
_cell_length_c 5.823
_cell_angle_alpha 90.00
_cell_angle_beta 90.00
_cell_angle_gamma 90.00
loop_
_atom_site_label
_atom_site_type_symbol
_atom_site_fract_x
_atom_site_fract_y
_atom_site_fract_z
Fe1 Fe 0.500 0.500 0.500
Ga1 Ga 0.000 0.000 0.000
O1 O 0.000 0.500 0.000
O2 O 0.500 0.000 0.000
I1 I 0.000 0.000 0.500

=====

Referenced to the most stable arrangement, the calculated values in meV/atom are i 0; ii 18.